# LiSn2Te3 | Alexandria | PBE-GGA | optimized geometry
data_LiSn2Te3
_chemical_formula_sum 'Li4 Sn8 Te12'
_cell_length_a 8.946
_cell_length_b 6.113
_cell_length_c 13.317
_cell_angle_alpha 90.00
_cell_angle_beta 90.00
_cell_angle_gamma 90.00
_symmetry_space_group_name_H-M 'P n m a'
_symmetry_Int_Tables_number 62
loop_
_symmetry_equiv_pos_as_xyz
'x,y,z'
'-x,-y,-z'
'-x+1/2,-y,z+1/2'
'x+1/2,y,-z+1/2'
'x+1/2,-y+1/2,-z+1/2'
'-x+1/2,y+1/2,z+1/2'
'-x,y+1/2,-z'
'x,-y+1/2,z'
loop_
_atom_site_label
_atom_site_type_symbol
_atom_site_fract_x
_atom_site_fract_y
_atom_site_fract_z
Li1 Li 0.127 0.250 0.101
Sn1 Sn 0.150 0.250 0.737
Sn2 Sn 0.154 0.250 0.420
Te1 Te 0.116 0.750 0.080
Te2 Te 0.120 0.750 0.751
Te3 Te 0.121 0.750 0.416
# - Energy: -3.64 eV per atom
# - Crystal system: orthorhombic
# - ΔE_f (raw): -0.42 eV/atom
# - E above lowest polymorph: 0.051 eV/f.u.

# LiSn2Te3 | Alexandria | PBE-GGA | optimized geometry
data_LiSn2Te3
_chemical_formula_sum 'Li2 Sn4 Te6'
_cell_length_a 4.376
_cell_length_b 6.151
_cell_length_c 13.227
_cell_angle_alpha 90.00
_cell_angle_beta 90.00
_cell_angle_gamma 90.00
_symmetry_space_group_name_H-M 'I m m m'
_symmetry_Int_Tables_number 71
_symmetry_space_group_name_Hall '-I 2 2'
loop_
_atom_site_label
_atom_site_type_symbol
_atom_site_fract_x
_atom_site_fract_y
_atom_site_fract_z
Li1 Li 0.000 0.000 0.000
Sn1 Sn 0.000 0.000 0.330
Te1 Te 0.000 0.500 0.000
Te2 Te 0.000 0.500 0.338
# - Energy: -3.65 eV per atom
# - Crystal system: orthorhombic
# - ΔE_f (raw): -0.43 eV/atom
# - E above lowest polymorph: 0.000 eV/f.u.

# Li3Sn2Te4 | Alexandria | PBE-GGA | optimized geometry
data_Li3Sn2Te4
_chemical_formula_sum 'Li12 Sn8 Te16'
_cell_length_a 16.233
_cell_length_b 8.266
_cell_length_c 9.510
_cell_angle_alpha 90.00
_cell_angle_beta 125.33
_cell_angle_gamma 90.00
_symmetry_space_group_name_H-M 'C 1 2/c 1'
_symmetry_Int_Tables_number 15
loop_
_symmetry_equiv_pos_as_xyz
'x,y,z'
'-x,-y,-z'
'-x,y,-z+1/2'
'x,-y,z+1/2'
'x+1/2,y+1/2,z'
'-x+1/2,-y+1/2,-z'
'-x+1/2,y+1/2,-z+1/2'
'x+1/2,-y+1/2,z+1/2'
loop_
_atom_site_label
_atom_site_type_symbol
_atom_site_fract_x
_atom_site_fract_y
_atom_site_fract_z
Li1 Li 0.000 0.052 0.250
Li2 Li 0.105 0.303 0.863
Sn1 Sn 0.229 0.255 0.703
Te1 Te 0.006 0.264 0.505
Te2 Te 0.225 0.006 0.976
# - Energy: -3.44 eV per atom
# - Crystal system: monoclinic
# - ΔE_f (raw): -0.52 eV/atom

# Li2SnTe3 | Alexandria | PBE-GGA | optimized geometry
data_Li2SnTe3
_chemical_formula_sum 'Li8 Sn4 Te12'
_cell_length_a 7.814
_cell_length_b 13.786
_cell_length_c 7.773
_cell_angle_alpha 90.00
_cell_angle_beta 107.36
_cell_angle_gamma 90.00
_symmetry_space_group_name_H-M 'C 1 c 1'
_symmetry_Int_Tables_number 9
loop_
_symmetry_equiv_pos_as_xyz
'x,y,z'
'x,-y,z+1/2'
'x+1/2,y+1/2,z'
'x+1/2,-y+1/2,z+1/2'
loop_
_atom_site_label
_atom_site_type_symbol
_atom_site_fract_x
_atom_site_fract_y
_atom_site_fract_z
Li1 Li 0.000 0.089 0.000
Li2 Li 0.032 0.251 0.517
Sn1 Sn 0.039 0.413 0.032
Te1 Te 0.392 0.083 0.146
Te2 Te 0.398 0.247 0.650
Te3 Te 0.406 0.417 0.127
# - Energy: -3.45 eV per atom
# - Crystal system: monoclinic
# - ΔE_f (raw): -0.58 eV/atom

# LiSnTe | Alexandria | PBE-GGA | optimized geometry
data_LiSnTe
_chemical_formula_sum 'Li4 Sn4 Te4'
_cell_length_a 9.283
_cell_length_b 4.063
_cell_length_c 10.035
_cell_angle_alpha 90.00
_cell_angle_beta 113.91
_cell_angle_gamma 90.00
_symmetry_space_group_name_H-M 'C 1 2/m 1'
_symmetry_Int_Tables_number 12
loop_
_symmetry_equiv_pos_as_xyz
'x,y,z'
'-x,-y,-z'
'-x,y,-z'
'x,-y,z'
'x+1/2,y+1/2,z'
'-x+1/2,-y+1/2,-z'
'-x+1/2,y+1/2,-z'
'x+1/2,-y+1/2,z'
loop_
_atom_site_label
_atom_site_type_symbol
_atom_site_fract_x
_atom_site_fract_y
_atom_site_fract_z
Li1 Li 0.164 0.000 0.112
Sn1 Sn 0.114 0.000 0.431
Te1 Te 0.017 0.500 0.818
# - Energy: -3.46 eV per atom
# - Crystal system: monoclinic
# - ΔE_f (raw): -0.44 eV/atom
# - E above lowest polymorph: 0.000 eV/f.u.

# Li2Sn3Te4 | Alexandria | PBE-GGA | optimized geometry
data_Li2Sn3Te4
_chemical_formula_sum 'Li8 Sn12 Te16'
_cell_length_a 14.091
_cell_length_b 10.918
_cell_length_c 7.725
_cell_angle_alpha 90.00
_cell_angle_beta 91.86
_cell_angle_gamma 90.00
_symmetry_space_group_name_H-M 'C 1 2/c 1'
_symmetry_Int_Tables_number 15
loop_
_symmetry_equiv_pos_as_xyz
'x,y,z'
'-x,-y,-z'
'-x,y,-z+1/2'
'x,-y,z+1/2'
'x+1/2,y+1/2,z'
'-x+1/2,-y+1/2,-z'
'-x+1/2,y+1/2,-z+1/2'
'x+1/2,-y+1/2,z+1/2'
loop_
_atom_site_label
_atom_site_type_symbol
_atom_site_fract_x
_atom_site_fract_y
_atom_site_fract_z
Li1 Li 0.198 0.126 0.423
Sn1 Sn 0.000 0.092 0.750
Sn2 Sn 0.125 0.367 0.959
Te1 Te 0.104 0.323 0.578
Te2 Te 0.148 0.098 0.073
# - Energy: -3.61 eV per atom
# - Crystal system: monoclinic
# - ΔE_f (raw): -0.45 eV/atom